[1]
# PBE Li2TiGe2, optimized geometry
data_Li2TiGe2
_symmetry_space_group_name_H-M 'P 1'
_symmetry_Int_Tables_number 1
_cell_length_a 7.333
_cell_length_b 7.333
_cell_length_c 2.765
_cell_angle_alpha 90.00
_cell_angle_beta 90.00
_cell_angle_gamma 90.00
loop_
_symmetry_equiv_pos_as_xyz
'x,y,z'
loop_
_atom_site_label
_atom_site_type_symbol
_atom_site_fract_x
_atom_site_fract_y
_atom_site_fract_z
Ge1 Ge 0.816 0.316 0.500
Ge2 Ge 0.684 0.816 0.500
Ge3 Ge 0.184 0.684 0.500
Ge4 Ge 0.316 0.184 0.500
Li1 Li 0.387 0.887 0.000
Li2 Li 0.113 0.387 0.000
Li3 Li 0.613 0.113 0.000
Li4 Li 0.887 0.613 0.000
Ti1 Ti 0.000 0.000 0.000
Ti2 Ti 0.500 0.500 0.000
# - ΔE to the lowest computed polymorph: 0 meV/atom



[2]
# PBE Li2Ti2Ge, optimized geometry
data_Li2Ti2Ge
_symmetry_space_group_name_H-M 'P 1'
_symmetry_Int_Tables_number 1
_cell_length_a 6.006
_cell_length_b 6.006
_cell_length_c 4.134
_cell_angle_alpha 90.00
_cell_angle_beta 90.00
_cell_angle_gamma 90.00
loop_
_symmetry_equiv_pos_as_xyz
'x,y,z'
loop_
_atom_site_label
_atom_site_type_symbol
_atom_site_fract_x
_atom_site_fract_y
_atom_site_fract_z
Li1 Li 0.372 0.872 0.000
Li2 Li 0.628 0.128 0.000
Li3 Li 0.872 0.628 0.000
Li4 Li 0.128 0.372 0.000
Ti1 Ti 0.680 0.820 0.500
Ti2 Ti 0.180 0.680 0.500
Ti3 Ti 0.820 0.320 0.500
Ti4 Ti 0.320 0.180 0.500
Ge1 Ge 0.000 0.000 0.000
Ge2 Ge 0.500 0.500 0.000
# - ΔE to the lowest computed polymorph: 0 meV/atom



[3]
# PBE LiTiGe3, optimized geometry
data_LiTiGe3
_symmetry_space_group_name_H-M 'P 1'
_symmetry_Int_Tables_number 1
_cell_length_a 4.911
_cell_length_b 4.911
_cell_length_c 4.911
_cell_angle_alpha 90.00
_cell_angle_beta 90.00
_cell_angle_gamma 90.00
loop_
_symmetry_equiv_pos_as_xyz
'x,y,z'
loop_
_atom_site_label
_atom_site_type_symbol
_atom_site_fract_x
_atom_site_fract_y
_atom_site_fract_z
Ge1 Ge 0.000 0.500 0.000
Ge2 Ge 0.000 0.000 0.500
Ge3 Ge 0.500 0.000 0.000
Li1 Li 0.500 0.500 0.500
Ti1 Ti 0.000 0.000 0.000
# - ΔE to the lowest computed polymorph: 0 meV/atom



[4]
This record from Alexandria describes a relaxed LiTi2Ge crystal. The functional is PBE.

Cell and atoms, written as CIF:
```
data_LiTi2Ge
_symmetry_space_group_name_H-M 'P 1'
_symmetry_Int_Tables_number 1
_cell_length_a 3.864
_cell_length_b 3.986
_cell_length_c 3.986
_cell_angle_alpha 90.00
_cell_angle_beta 90.00
_cell_angle_gamma 90.00
loop_
_symmetry_equiv_pos_as_xyz
'x,y,z'
loop_
_atom_site_label
_atom_site_type_symbol
_atom_site_fract_x
_atom_site_fract_y
_atom_site_fract_z
Ti1 Ti 0.000 0.500 0.000
Ti2 Ti 0.000 0.000 0.500
Ge1 Ge 0.500 0.000 0.000
Li1 Li 0.500 0.500 0.500
```



[5]
This record from Alexandria describes a relaxed LiTi2Ge crystal. The functional is PBE.

Cell and atoms, written as CIF:
```
data_LiTi2Ge
_symmetry_space_group_name_H-M 'P 1'
_symmetry_Int_Tables_number 1
_cell_length_a 7.167
_cell_length_b 7.167
_cell_length_c 5.654
_cell_angle_alpha 50.67
_cell_angle_beta 50.67
_cell_angle_gamma 90.00
loop_
_symmetry_equiv_pos_as_xyz
'x,y,z'
loop_
_atom_site_label
_atom_site_type_symbol
_atom_site_fract_x
_atom_site_fract_y
_atom_site_fract_z
Li1 Li 0.500 0.500 0.000
Li2 Li 0.250 0.750 0.500
Ge1 Ge 0.750 0.250 0.500
Ge2 Ge 0.000 0.000 0.000
Ti1 Ti 0.875 0.877 0.750
Ti2 Ti 0.123 0.625 0.250
Ti3 Ti 0.375 0.373 0.750
Ti4 Ti 0.627 0.125 0.250
```



[6]
This record from Alexandria describes a relaxed LiZr2TiGe crystal. The functional is PBE.

Cell and atoms, written as CIF:
```
data_LiZr2TiGe
_symmetry_space_group_name_H-M 'P 1'
_symmetry_Int_Tables_number 1
_cell_length_a 4.875
_cell_length_b 4.637
_cell_length_c 4.875
_cell_angle_alpha 90.00
_cell_angle_beta 90.00
_cell_angle_gamma 90.00
loop_
_symmetry_equiv_pos_as_xyz
'x,y,z'
loop_
_atom_site_label
_atom_site_type_symbol
_atom_site_fract_x
_atom_site_fract_y
_atom_site_fract_z
Zr1 Zr 0.000 0.000 0.500
Zr2 Zr 0.500 0.000 0.000
Ti1 Ti 0.000 0.000 0.000
Li1 Li 0.000 0.500 0.000
Ge1 Ge 0.500 0.500 0.500
```



[7]
This record from Alexandria describes a relaxed Li4Tl3Ge crystal. The functional is PBE.

Cell and atoms, written as CIF:
```
data_Li4Tl3Ge
_symmetry_space_group_name_H-M 'P 1'
_symmetry_Int_Tables_number 1
_cell_length_a 3.316
_cell_length_b 3.316
_cell_length_c 14.440
_cell_angle_alpha 90.00
_cell_angle_beta 90.00
_cell_angle_gamma 90.00
loop_
_symmetry_equiv_pos_as_xyz
'x,y,z'
loop_
_atom_site_label
_atom_site_type_symbol
_atom_site_fract_x
_atom_site_fract_y
_atom_site_fract_z
Li1 Li 0.000 0.000 0.898
Li2 Li 0.000 0.000 0.635
Li3 Li 0.000 0.000 0.365
Li4 Li 0.000 0.000 0.102
Tl1 Tl 0.500 0.500 0.233
Tl2 Tl 0.500 0.500 0.500
Tl3 Tl 0.500 0.500 0.767
Ge1 Ge 0.500 0.500 0.000
```



[8]
This record from Alexandria describes a relaxed LiTlGe crystal. The functional is PBE.

Cell and atoms, written as CIF:
```
data_LiTlGe
_symmetry_space_group_name_H-M 'P 1'
_symmetry_Int_Tables_number 1
_cell_length_a 7.288
_cell_length_b 3.931
_cell_length_c 9.299
_cell_angle_alpha 90.00
_cell_angle_beta 90.00
_cell_angle_gamma 90.00
loop_
_symmetry_equiv_pos_as_xyz
'x,y,z'
loop_
_atom_site_label
_atom_site_type_symbol
_atom_site_fract_x
_atom_site_fract_y
_atom_site_fract_z
Tl1 Tl 0.366 0.250 0.096
Tl2 Tl 0.134 0.750 0.596
Tl3 Tl 0.634 0.750 0.904
Tl4 Tl 0.866 0.250 0.404
Ge1 Ge 0.589 0.750 0.565
Ge2 Ge 0.911 0.250 0.065
Ge3 Ge 0.089 0.750 0.935
Ge4 Ge 0.411 0.250 0.435
Li1 Li 0.883 0.250 0.753
Li2 Li 0.617 0.750 0.253
Li3 Li 0.117 0.750 0.247
Li4 Li 0.383 0.250 0.747
```



[9]
# PBE Li4TlGe, optimized geometry
data_Li4TlGe
_symmetry_space_group_name_H-M 'P 1'
_symmetry_Int_Tables_number 1
_cell_length_a 2.958
_cell_length_b 4.457
_cell_length_c 8.028
_cell_angle_alpha 90.00
_cell_angle_beta 91.63
_cell_angle_gamma 90.00
loop_
_symmetry_equiv_pos_as_xyz
'x,y,z'
loop_
_atom_site_label
_atom_site_type_symbol
_atom_site_fract_x
_atom_site_fract_y
_atom_site_fract_z
Ge1 Ge 0.500 0.500 0.500
Li1 Li 0.185 0.000 0.648
Li2 Li 0.080 0.500 0.193
Li3 Li 0.815 0.000 0.352
Li4 Li 0.920 0.500 0.807
Tl1 Tl 0.500 0.000 0.000
# - ΔE to the lowest computed polymorph: 0 meV/atom



[10]
This record from Alexandria describes a relaxed Li5Tl2Ge crystal. The functional is PBE.

Cell and atoms, written as CIF:
```
data_Li5Tl2Ge
_symmetry_space_group_name_H-M 'P 1'
_symmetry_Int_Tables_number 1
_cell_length_a 4.651
_cell_length_b 4.651
_cell_length_c 7.470
_cell_angle_alpha 108.14
_cell_angle_beta 108.14
_cell_angle_gamma 90.00
loop_
_symmetry_equiv_pos_as_xyz
'x,y,z'
loop_
_atom_site_label
_atom_site_type_symbol
_atom_site_fract_x
_atom_site_fract_y
_atom_site_fract_z
Ge1 Ge 0.000 0.000 0.000
Li1 Li 0.390 0.890 0.781
Li2 Li 0.890 0.390 0.781
Li3 Li 0.500 0.500 0.000
Li4 Li 0.110 0.610 0.219
Li5 Li 0.610 0.110 0.219
Tl1 Tl 0.745 0.745 0.491
Tl2 Tl 0.255 0.255 0.509
```



[11]
This record from Alexandria describes a relaxed LiTlGe crystal. The functional is PBE.

Cell and atoms, written as CIF:
```
data_LiTlGe
_symmetry_space_group_name_H-M 'P 1'
_symmetry_Int_Tables_number 1
_cell_length_a 6.553
_cell_length_b 3.071
_cell_length_c 6.834
_cell_angle_alpha 90.00
_cell_angle_beta 76.33
_cell_angle_gamma 90.00
loop_
_symmetry_equiv_pos_as_xyz
'x,y,z'
loop_
_atom_site_label
_atom_site_type_symbol
_atom_site_fract_x
_atom_site_fract_y
_atom_site_fract_z
Li1 Li 0.180 0.000 0.111
Li2 Li 0.634 0.000 0.811
Tl1 Tl 0.545 0.000 0.333
Tl2 Tl 0.998 0.500 0.486
Ge1 Ge 0.916 0.500 0.946
Ge2 Ge 0.311 0.500 0.764
```



[12]
This record from Alexandria describes a relaxed LiTlGe crystal. The functional is PBE.

Cell and atoms, written as CIF:
```
data_LiTlGe
_symmetry_space_group_name_H-M 'P 1'
_symmetry_Int_Tables_number 1
_cell_length_a 6.386
_cell_length_b 5.047
_cell_length_c 4.141
_cell_angle_alpha 89.99
_cell_angle_beta 89.52
_cell_angle_gamma 96.13
loop_
_symmetry_equiv_pos_as_xyz
'x,y,z'
loop_
_atom_site_label
_atom_site_type_symbol
_atom_site_fract_x
_atom_site_fract_y
_atom_site_fract_z
Ge1 Ge 0.192 0.211 0.250
Ge2 Ge 0.176 0.891 0.750
Tl1 Tl 0.540 0.586 0.759
Tl2 Tl 0.638 0.105 0.258
Li1 Li 0.937 0.708 0.253
Li2 Li 0.969 0.351 0.752
```



| no. | DFT formation energy (eV/atom) |
| --- | --- |
| 1 | -0.235 |
| 2 | 0.070 |
| 3 | 0.090 |
| 4 | -0.262 |
| 5 | 0.077 |
| 6 | 0.789 |
| 7 | -0.217 |
| 8 | -0.037 |
| 9 | -0.267 |
| 10 | -0.252 |
| 11 | -0.018 |
| 12 | -0.060 |